Computed, not measured: a relaxed structure of MgCu2Pb at the PBE level of DFT.

a = 4.743 Å, b = 4.743 Å, c = 5.053 Å
α = 77.58°, β = 77.58°, γ = 42.54°
Fractional coordinates of all 4 atoms:
Pb: 0.250 0.250 0.250
Cu: 0.493 0.493 0.558
Mg: 0.750 0.750 0.750
Cu: 0.007 0.007 0.942

Output
**Energy relative to the elements**: 149.6 meV per atom
**Density of states at the Fermi level**: 1.3 states/eV/f.u.
**Electronic total energy**: -12.90 eV/cell
**SG**: C2/m